VASP calculation (PBE-GGA) on a geometry-optimized Li3Mn structure.

Structure (CIF):
```
data_Li3Mn
_chemical_formula_sum 'Li6 Mn2'
_cell_length_a 5.392
_cell_length_b 8.973
_cell_length_c 2.322
_cell_angle_alpha 90.00
_cell_angle_beta 90.00
_cell_angle_gamma 90.00
_space_group_name_H-M_alt 'C m m m'
_space_group_IT_number 65
_space_group_name_Hall '-C 2 2'
loop_
_atom_site_label
_atom_site_type_symbol
_atom_site_fract_x
_atom_site_fract_y
_atom_site_fract_z
_atom_site_occupancy
Li1 Li 0.000 0.000 0.000 1
Li2 Li 0.250 0.250 0.500 1
Mn1 Mn 0.000 0.500 0.000 1
```

Results
Crystal system: orthorhombic
Formation energy: 0.356 eV per atom
Density of states at the Fermi level: 5.1 states/eV per cell
Magnetization: 1.5 μB/f.u.
E_tot: -3.37 eV/atom

---

VASP calculation (PBE-GGA) on a geometry-optimized CeScInOs structure.

Structure (CIF):
```
data_CeScInOs
_chemical_formula_sum 'Ce4 Sc4 In4 Os4'
_cell_length_a 7.035
_cell_length_b 7.035
_cell_length_c 7.035
_cell_angle_alpha 90.00
_cell_angle_beta 90.00
_cell_angle_gamma 90.00
_space_group_name_H-M_alt 'F -4 3 m'
_space_group_IT_number 216
_space_group_name_Hall 'F -4 2 3'
loop_
_atom_site_label
_atom_site_type_symbol
_atom_site_fract_x
_atom_site_fract_y
_atom_site_fract_z
_atom_site_occupancy
Ce1 Ce 0.000 0.000 0.000 1
Sc1 Sc 0.000 0.000 0.500 1
In1 In 0.250 0.250 0.750 1
Os1 Os 0.250 0.250 0.250 1
```

Results
Crystal system: cubic
Formation energy: -0.161 eV per atom
Density of states at the Fermi level: 19.8 states/eV per cell
Magnetization: 0.3 μB/f.u.
E_tot: -6.72 eV/atom

---

VASP calculation (PBE-GGA) on a geometry-optimized CrHRu structure.

Structure (CIF):
```
data_CrHRu
_chemical_formula_sum 'Cr4 H4 Ru4'
_cell_length_a 9.971
_cell_length_b 2.714
_cell_length_c 4.793
_cell_angle_alpha 90.00
_cell_angle_beta 118.35
_cell_angle_gamma 90.00
_space_group_name_H-M_alt 'C 1 2/m 1'
_space_group_IT_number 12
loop_
_space_group_symop_operation_xyz
'x,y,z'
'-x,-y,-z'
'-x,y,-z'
'x,-y,z'
'x+1/2,y+1/2,z'
'-x+1/2,-y+1/2,-z'
'-x+1/2,y+1/2,-z'
'x+1/2,-y+1/2,z'
loop_
_atom_site_label
_atom_site_type_symbol
_atom_site_fract_x
_atom_site_fract_y
_atom_site_fract_z
_atom_site_occupancy
Cr1 Cr 0.109 0.000 0.469 1
H1 H 0.187 0.500 0.353 1
Ru1 Ru 0.119 0.500 0.937 1
```

Results
Crystal system: monoclinic
Density of states at the Fermi level: 8.8 states/eV per cell
Magnetization: 0.0 μB/f.u.
E_tot: -7.37 eV/atom

---

- Which formula does entry 1 have?
  Li3Mn